Entry from Alexandria: crystalline Li3AlPd2 at its relaxed geometry (PBE).

Cell: 4.6254 4.6254 8.7143 Å, 101.81 101.81 105.25°
With the nearest neighbours (Å) after each atom.
Fractional coordinates of all 12 atoms:
Li (0.2118, 0.4644, 0.4221)  5 Li 2.63-2.73, 5 Pd 2.66-2.83, 2 Al 2.70-2.72
Li (0.5356, 0.7882, 0.0779)  5 Li 2.63-2.73, 5 Pd 2.66-2.83, 2 Al 2.70-2.72
Li (0.7882, 0.5356, 0.5779)  5 Li 2.63-2.73, 5 Pd 2.66-2.83, 2 Al 2.70-2.72
Li (0.4644, 0.2118, 0.9221)  5 Li 2.63-2.73, 5 Pd 2.66-2.83, 2 Al 2.70-2.72
Li (0.6270, 0.3730, 0.2500)  4 Pd 2.62-2.64, 6 Li 2.69-2.73, 2 Al 2.81
Li (0.3730, 0.6270, 0.7500)  4 Pd 2.62-2.64, 6 Li 2.69-2.73, 2 Al 2.81
Al (0.1230, 0.8770, 0.2500)  6 Pd 2.63-2.85, 6 Li 2.70-2.81
Al (0.8770, 0.1230, 0.7500)  6 Pd 2.63-2.85, 6 Li 2.70-2.81
Pd (0.0512, 0.2998, 0.0975)  7 Li 2.62-2.83, 3 Al 2.63-2.85, 2 Pd 2.80-2.82
Pd (0.7002, 0.9488, 0.4025)  7 Li 2.62-2.83, 3 Al 2.63-2.85, 2 Pd 2.80-2.82
Pd (0.9488, 0.7002, 0.9025)  7 Li 2.62-2.83, 3 Al 2.63-2.85, 2 Pd 2.80-2.82
Pd (0.2998, 0.0512, 0.5975)  7 Li 2.62-2.83, 3 Al 2.63-2.85, 2 Pd 2.80-2.82

V: 169.33 Å³/cell
Density of states at the Fermi level: 4.504 states/eV/cell
DFT formation energy: -524 meV per atom
Electronic total energy: -23.013 eV/f.u.

Entry from Alexandria: crystalline Li2Al3Pd4 at its relaxed geometry (PBE).

Cell: 4.0442 4.4207 8.0934 Å, 83.45 90.00 62.78°
With the nearest neighbours (Å) after each atom.
Fractional coordinates of all 9 atoms:
Li (0.3219, 0.3559, 0.7819)  7 Pd 2.58-2.76, 2 Al 2.84
Li (0.6781, 0.6441, 0.2181)  7 Pd 2.58-2.76, 2 Al 2.84
Al (0.3435, 0.3131, 0.4260)  4 Pd 2.52-2.65, 1 Al 2.60
Al (0.0000, 0.0000, 0.0000)  8 Pd 2.60-2.69
Al (0.6565, 0.6869, 0.5740)  4 Pd 2.52-2.65, 1 Al 2.60
Pd (0.6622, 0.6756, 0.8908)  4 Al 2.56-2.69, 4 Li 2.59-2.71
Pd (0.0252, 0.9497, 0.3309)  4 Al 2.52-2.66, 3 Li 2.58-2.76, 1 Pd 2.82
Pd (0.9748, 0.0503, 0.6691)  4 Al 2.52-2.66, 3 Li 2.58-2.76, 1 Pd 2.82
Pd (0.3378, 0.3244, 0.1092)  4 Al 2.56-2.69, 4 Li 2.59-2.71

V: 127.60 Å³/cell
Density of states at the Fermi level: 2.512 states/eV/cell
DFT formation energy: -728 meV per atom
Electronic total energy: -42.381 eV/f.u.